# TaBi3Ir (PBE, relaxed)
# Offset from the most stable computed form in meV/atom: 0
# Formation enthalpy at 0 K in eV per atom: 1.2847
data_TaBi3Ir
_symmetry_space_group_name_H-M 'P 1'
_symmetry_Int_Tables_number 1
_symmetry_space_group_name_Hall 'P 1'
_cell_length_a 5.274
_cell_length_b 5.274
_cell_length_c 5.274
_cell_angle_alpha 90.00
_cell_angle_beta 90.00
_cell_angle_gamma 90.00
loop_
_atom_site_label
_atom_site_fract_x
_atom_site_fract_y
_atom_site_fract_z
Ir1 0.000 0.000 0.000
Bi1 0.000 0.500 0.000
Bi2 0.000 0.000 0.500
Bi3 0.500 0.000 0.000
Ta1 0.500 0.500 0.500